# 1
This record from Alexandria via LeMat-Bulk describes crystalline Sc2ZnCdH at its relaxed geometry. The functional is PBE.

N(E_F), states/eV per cell: 3.8

Cell lengths 4.5681, 4.5681, 3.9512 Å; angles 90.00, 90.00, 90.00 degrees
Space group P4/mmm (No. 123)
Symmetry-distinct sites (fractional):
1 Sc 0.0000 0.5000 0.0000
2 Zn 0.0000 0.0000 0.5000
3 Cd 0.5000 0.5000 0.5000
4 H 0.0000 0.0000 0.0000

# 2
This record from Alexandria via LeMat-Bulk describes crystalline Sc2ZnCdH at its relaxed geometry. The functional is PBE.

N(E_F), states/eV per cell: 3.3

Cell lengths 4.3901, 4.3901, 4.3016 Å; angles 90.00, 90.00, 90.00 degrees
Space group P4/mmm (No. 123)
Symmetry-distinct sites (fractional):
1 Sc 0.0000 0.5000 0.0000
2 Zn 0.0000 0.0000 0.5000
3 Cd 0.5000 0.5000 0.5000
4 H 0.5000 0.5000 0.0000

# 3
This record from Alexandria via LeMat-Bulk describes crystalline ZrSc2CdH at its relaxed geometry. The functional is PBE.

N(E_F), states/eV per cell: 6.1

Cell lengths 4.5490, 4.5490, 4.3725 Å; angles 90.00, 90.00, 90.00 degrees
Space group P4/mmm (No. 123)
Symmetry-distinct sites (fractional):
1 Zr 0.0000 0.0000 0.0000
2 Sc 0.0000 0.5000 0.5000
3 Cd 0.5000 0.5000 0.0000
4 H 0.0000 0.0000 0.5000

# 4
This record from Alexandria via LeMat-Bulk describes crystalline CdHSe2 at its relaxed geometry. The functional is PBE.

N(E_F), states/eV per cell: 5.3

Cell lengths 4.2519, 4.2519, 18.6199 Å; angles 90.00, 90.00, 120.00 degrees
Space group R-3m (No. 166, hexagonal axes)
Symmetry-distinct sites (fractional):
1 Cd 0.0000 0.0000 0.0000
2 H 0.0000 0.0000 0.5000
3 Se 0.0000 0.0000 0.4066

# 5
This record from Alexandria via LeMat-Bulk describes crystalline Cd3HSe at its relaxed geometry. The functional is PBE.

N(E_F), states/eV per cell: 1.7

Cell lengths 4.6143, 4.6143, 4.6143 Å; angles 90.00, 90.00, 90.00 degrees
Space group Pm-3m (No. 221)
Symmetry-distinct sites (fractional):
1 Cd 0.0000 0.0000 0.5000
2 H 0.0000 0.0000 0.0000
3 Se 0.5000 0.5000 0.5000

# 6
This record from Alexandria via LeMat-Bulk describes crystalline CdH2Se at its relaxed geometry. The functional is PBE.

Cell lengths 7.6471, 4.3811, 5.7626 Å; angles 90.00, 94.40, 90.00 degrees
Space group Cm (No. 8)
Symmetry-distinct sites (fractional):
1 Cd 0.0000 0.0000 0.0000
2 H 0.0946 0.5000 0.5044
3 H 0.1692 0.5000 0.5978
4 Se 0.3366 0.0000 0.0830

# 7
This record from Alexandria via LeMat-Bulk describes crystalline CdH2Se at its relaxed geometry. The functional is PBE.

N(E_F), states/eV per cell: 4.9

Cell lengths 5.8593, 5.8593, 5.8593 Å; angles 90.00, 90.00, 90.00 degrees
Space group Fm-3m (No. 225)
Symmetry-distinct sites (fractional):
1 Cd 0.0000 0.0000 0.0000
2 H 0.2500 0.2500 0.2500
3 Se 0.0000 0.0000 0.5000

# 8
This record from Alexandria via LeMat-Bulk describes crystalline Cd2HSe at its relaxed geometry. The functional is PBE.

N(E_F), states/eV per cell: 10.1

Cell lengths 6.7196, 6.7196, 6.7196 Å; angles 90.00, 90.00, 90.00 degrees
Space group Fm-3m (No. 225)
Symmetry-distinct sites (fractional):
1 Cd 0.2500 0.2500 0.2500
2 H 0.0000 0.0000 0.0000
3 Se 0.0000 0.0000 0.5000

# 9
This record from Alexandria via LeMat-Bulk describes crystalline CdHSe2 at its relaxed geometry. The functional is PBE.

N(E_F), states/eV per cell: 6.2

Cell lengths 2.9531, 2.9531, 27.9218 Å; angles 90.00, 90.00, 120.00 degrees
Space group R-3m (No. 166, hexagonal axes)
Symmetry-distinct sites (fractional):
1 Cd 0.0000 0.0000 0.0000
2 H 0.0000 0.0000 0.5000
3 Se 0.0000 0.0000 0.1106

# 10
This record from Alexandria via LeMat-Bulk describes crystalline Cd2HSe at its relaxed geometry. The functional is PBE.

N(E_F), states/eV per cell: 1.6

Cell lengths 5.0335, 5.0335, 13.3275 Å; angles 90.00, 90.00, 90.00 degrees
Space group I-42d (No. 122)
Symmetry-distinct sites (fractional):
1 Cd 0.1571 0.2500 0.1250
2 H 0.0000 0.0000 0.0000
3 Se 0.0000 0.0000 0.5000

# 11
This record from Alexandria via LeMat-Bulk describes crystalline CdH4Se at its relaxed geometry. The functional is PBE.

N(E_F), states/eV per cell: 0.0

Cell lengths 6.7566, 14.1379, 4.9582 Å; angles 90.00, 119.99, 90.00 degrees
Space group C2/c (No. 15)
Symmetry-distinct sites (fractional):
1 Cd 0.0000 0.0615 0.2500
2 H 0.0908 0.2799 0.9962
3 H 0.1730 0.0744 0.6498
4 Se 0.0000 0.3539 0.7500

# 12
This record from Alexandria via LeMat-Bulk describes crystalline CdHSe2 at its relaxed geometry. The functional is PBE.

N(E_F), states/eV per cell: 15.2

Cell lengths 6.7162, 6.7162, 6.7162 Å; angles 90.00, 90.00, 90.00 degrees
Space group Fm-3m (No. 225)
Symmetry-distinct sites (fractional):
1 Cd 0.0000 0.0000 0.0000
2 H 0.0000 0.0000 0.5000
3 Se 0.2500 0.2500 0.2500

# 13
This record from Alexandria via LeMat-Bulk describes crystalline Cd3HSe at its relaxed geometry. The functional is PBE.

N(E_F), states/eV per cell: 2.1

Cell lengths 5.5420, 5.5420, 5.5420 Å; angles 90.00, 90.00, 90.00 degrees
Space group Pm-3m (No. 221)
Symmetry-distinct sites (fractional):
1 Cd 0.0000 0.0000 0.5000
2 H 0.5000 0.5000 0.5000
3 Se 0.0000 0.0000 0.0000

# 14
This record from Alexandria via LeMat-Bulk describes crystalline CdHSe2 at its relaxed geometry. The functional is PBE.

N(E_F), states/eV per cell: 9.8

Cell lengths 5.7433, 5.7433, 9.7151 Å; angles 90.00, 90.00, 90.00 degrees
Space group I-42d (No. 122)
Symmetry-distinct sites (fractional):
1 Cd 0.0000 0.0000 0.0000
2 H 0.0000 0.0000 0.5000
3 Se 0.1652 0.2500 0.6250

# 15
This record from Alexandria via LeMat-Bulk describes crystalline CdH2Se at its relaxed geometry. The functional is PBE.

N(E_F), states/eV per cell: 0.9

Cell lengths 5.7957, 5.7957, 8.2606 Å; angles 90.00, 90.00, 90.00 degrees
Space group I4_1/amd (No. 141, origin choice 2)
Symmetry-distinct sites (fractional):
1 Cd 0.0000 0.2500 0.3750
2 H 0.0000 0.0000 0.0000
3 Se 0.0000 0.2500 0.8750

# 16
This record from Alexandria via LeMat-Bulk describes crystalline TlCdHSe2 at its relaxed geometry. The functional is PBE.

Cell lengths 7.1249, 5.1361, 7.2684 Å; angles 90.00, 104.60, 90.00 degrees
Space group P2/c (No. 13)
Symmetry-distinct sites (fractional):
1 Tl 0.0000 0.2451 0.2500
2 Cd 0.5000 0.4946 0.7500
3 H 0.5000 0.0000 0.0000
4 Se 0.2982 0.2188 0.9515

# 17
This record from Alexandria via LeMat-Bulk describes crystalline Cd2SiH2 at its relaxed geometry. The functional is PBE.

N(E_F), states/eV per cell: 1.8

Cell lengths 5.4776, 5.4776, 4.9758 Å; angles 90.00, 90.00, 90.00 degrees
Space group P4/mbm (No. 127)
Symmetry-distinct sites (fractional):
1 Cd 0.1831 0.3169 0.0000
2 Si 0.0000 0.0000 0.5000
3 H 0.2304 0.2696 0.5000

# 18
This record from Alexandria via LeMat-Bulk describes crystalline CdSi2H at its relaxed geometry. The functional is PBE.

N(E_F), states/eV per cell: 5.3

Cell lengths 4.7019, 4.7019, 11.9740 Å; angles 90.00, 90.00, 90.00 degrees
Space group I-42d (No. 122)
Symmetry-distinct sites (fractional):
1 Cd 0.0000 0.0000 0.0000
2 Si 0.0807 0.2500 0.6250
3 H 0.0000 0.0000 0.5000

# 19
This record from Alexandria via LeMat-Bulk describes crystalline CdSi2H at its relaxed geometry. The functional is PBE.

N(E_F), states/eV per cell: 8.0

Cell lengths 6.2807, 6.2807, 6.2807 Å; angles 90.00, 90.00, 90.00 degrees
Space group Fm-3m (No. 225)
Symmetry-distinct sites (fractional):
1 Cd 0.0000 0.0000 0.0000
2 Si 0.2500 0.2500 0.2500
3 H 0.0000 0.0000 0.5000

# 20
This record from Alexandria via LeMat-Bulk describes crystalline CdSiH at its relaxed geometry. The functional is PBE.

N(E_F), states/eV per cell: 0.5

Cell lengths 3.8472, 4.8418, 6.4478 Å; angles 100.99, 107.06, 90.01 degrees
Space group P-1 (No. 2)
Symmetry-distinct sites (fractional):
1 Cd 0.0000 0.0000 0.0000
2 Cd 0.5000 0.5000 0.0000
3 Si 0.2152 0.0870 0.4292
4 H 0.2638 0.3973 0.5279

Calculated uncorrected energy in order - -3.91; -3.87; -5.34; -2.86; -1.69; -2.98; -2.06; -1.89; -2.27; -2.19; -2.80; -2.21; -1.30; -2.65; -2.53; -3.04; -2.37; -3.20; -2.92; -3.06 eV/atom